RbPt | PBE | relaxed

```
RbPt
1.0
4.855 0.000 0.000
2.428 4.205 0.000
2.428 1.402 3.964
Pt Rb
1 1
Cartesian
4.855 2.803 1.982
0.000 0.000 0.000
```

Calculated values
As for the total moment: 1.02 μB per cell. The calculation puts the total energy at -2.501 eV per atom. Its energy of formation from the pure elements is 2.0 eV/f.u.